The following is a PBE+U calculation of a relaxed TaMn2F crystal, from Alexandria via LeMat-Bulk. Values from VASP.

Output
Crystal system: cubic
Polymorph energy (0 for the lowest one), eV per formula unit: 1.62
V, Å³/f.u.: 68
N(E_F), states/eV/f.u.: 3.3
Spin magnetization, μB per formula unit: 6.522
Symmetry: Fm-3m
E, eV/cell: -106.1

Structure (Quantum ESPRESSO input):
```
&SYSTEM
  ibrav = 0, nat = 16, ntyp = 3
/
ATOMIC_SPECIES
Ta 180.95 Ta.upf
Mn 54.94 Mn.upf
F 19.00 F.upf
ATOMIC_POSITIONS crystal
Ta 0.000 0.000 0.000
Ta 0.000 0.500 0.500
Ta 0.500 0.000 0.500
Ta 0.500 0.500 0.000
Mn 0.250 0.250 0.250
Mn 0.250 0.250 0.750
Mn 0.250 0.750 0.250
Mn 0.250 0.750 0.750
Mn 0.750 0.250 0.250
Mn 0.750 0.250 0.750
Mn 0.750 0.750 0.250
Mn 0.750 0.750 0.750
F 0.000 0.000 0.500
F 0.000 0.500 0.000
F 0.500 0.000 0.000
F 0.500 0.500 0.500
CELL_PARAMETERS angstrom
6.478 0.000 0.000
0.000 6.478 0.000
0.000 0.000 6.478
```